(1)
This record from Alexandria via LeMat-Bulk describes a relaxed BiTe2H crystal. The functional is PBE-GGA.

a b c (Å): 7.818 7.818 7.818
angles (deg): 34.35 34.35 34.35
Element x y z (fractional)
H (0.000, 0.000, 0.000)
Bi (0.500, 0.500, 0.500)
Te (0.089, 0.089, 0.089)
Te (0.911, 0.911, 0.911)

- Space-group type: No. 166
- ΔE to the lowest computed polymorph: 0.037 eV/atom
- DFT total energy: -3.37 eV per atom

***

(2)
This record from Alexandria via LeMat-Bulk describes a relaxed BiTeH2 crystal. The functional is PBE-GGA.

a b c (Å): 6.132 4.374 6.640
angles (deg): 90.00 90.00 135.49
Element x y z (fractional)
Te (0.027, 0.016, 0.000)
Bi (0.528, 0.015, 0.000)
H (0.476, 0.371, 0.500)
H (0.560, 0.606, 0.500)

- Space-group type: No. 6
- ΔE to the lowest computed polymorph: 0.000 eV/atom
- DFT total energy: -3.32 eV per atom

***

The highest DFT total energy belongs to which entry? BiTeH2